[1]
Below is a relaxed Dy2Ho2CBr5 crystal, with properties calculated at the PBE level.

**Spin magnetization**: 0.016 μB per atom
**Crystal system**: monoclinic
**Total energy**: -5.0206 eV per atom
**SG**: C2/m

a = 9.0724 Å, b = 9.0724 Å, c = 8.1138 Å
α = 102.72°, β = 102.72°, γ = 24.15°
Fractional coordinates of all 10 atoms:
Dy (0.0008, 0.0008, 0.2991)
Dy (0.9992, 0.9992, 0.7009)
Ho (0.3619, 0.3619, 0.4284)
Ho (0.6381, 0.6381, 0.5716)
C (0.5000, 0.5000, 0.5000)
Br (0.1641, 0.1641, 0.8394)
Br (0.1700, 0.1700, 0.3286)
Br (0.5000, 0.5000, 0.0000)
Br (0.8300, 0.8300, 0.6714)
Br (0.8359, 0.8359, 0.1606)

[2]
Below is a relaxed DyHoCBr2 crystal, with properties calculated at the PBE level.

**Spin magnetization**: 0.003 μB per atom
**Crystal system**: trigonal
**Total energy**: -5.6473 eV per atom
**SG**: P3m1

a = 3.7515 Å, b = 3.7515 Å, c = 10.5395 Å
α = 90.00°, β = 90.00°, γ = 120.00°
Fractional coordinates of all 5 atoms:
Dy (0.0000, 0.0000, 0.0000)
Ho (0.6667, 0.3333, 0.7471)
C (0.3333, 0.6667, 0.8729)
Br (0.0000, 0.0000, 0.5645)
Br (0.6667, 0.3333, 0.1841)

[3]
Below is a relaxed DyHoC2Br2 crystal, with properties calculated at the PBE level.

**Spin magnetization**: 0.001 μB per atom
**Crystal system**: monoclinic
**Total energy**: -6.2403 eV per atom
**SG**: Cm

a = 3.9889 Å, b = 3.9889 Å, c = 10.9509 Å
α = 94.15°, β = 94.15°, γ = 56.43°
Fractional coordinates of all 6 atoms:
Dy (0.0000, 0.0000, 0.0000)
Ho (0.2898, 0.2898, 0.2634)
C (0.5698, 0.5698, 0.1666)
C (0.7199, 0.7199, 0.0988)
Br (0.3220, 0.3220, 0.8272)
Br (0.9667, 0.9667, 0.4349)

[4]
Below is a relaxed Dy2C2IBr crystal, with properties calculated at the PBE level.

**Spin magnetization**: 0.001 μB per atom
**Crystal system**: monoclinic
**Total energy**: -6.1090 eV per atom
**SG**: Cm

a = 4.0618 Å, b = 4.0618 Å, c = 11.0188 Å
α = 98.34°, β = 98.34°, γ = 56.43°
Fractional coordinates of all 6 atoms:
Dy (0.0000, 0.0000, 0.0000)
Dy (0.1957, 0.1957, 0.7406)
C (0.5097, 0.5097, 0.8385)
C (0.6852, 0.6852, 0.9018)
I (0.3886, 0.3886, 0.1951)
Br (0.8068, 0.8068, 0.5692)

[5]
Below is a relaxed Dy4CIBr4 crystal, with properties calculated at the PBE level.

**Spin magnetization**: 0.031 μB per atom
**Crystal system**: monoclinic
**Total energy**: -4.9521 eV per atom
**SG**: C2/m

a = 9.1153 Å, b = 9.1153 Å, c = 8.5058 Å
α = 102.99°, β = 102.99°, γ = 24.44°
Fractional coordinates of all 10 atoms:
Dy (0.0007, 0.0007, 0.3089)
Dy (0.3619, 0.3619, 0.4302)
Dy (0.6381, 0.6381, 0.5698)
Dy (0.9993, 0.9993, 0.6911)
C (0.5000, 0.5000, 0.5000)
I (0.5000, 0.5000, 0.0000)
Br (0.1646, 0.1646, 0.8239)
Br (0.1699, 0.1699, 0.3400)
Br (0.8301, 0.8301, 0.6600)
Br (0.8354, 0.8354, 0.1761)

[6]
Below is a relaxed Nd2Dy2CI3Br2 crystal, with properties calculated at the PBE level.

**Spin magnetization**: 0.023 μB per atom
**ΔE to the lowest computed polymorph**: 14.9 meV per atom
**Crystal system**: monoclinic
**Total energy**: -4.8208 eV per atom
**SG**: C2/m

a = 9.4377 Å, b = 9.4377 Å, c = 8.6104 Å
α = 102.76°, β = 102.76°, γ = 24.24°
Fractional coordinates of all 10 atoms:
Nd (0.1396, 0.1396, 0.0659)
Nd (0.8604, 0.8604, 0.9341)
Dy (0.4990, 0.4990, 0.1891)
Dy (0.5010, 0.5010, 0.8109)
C (0.0000, 0.0000, 0.0000)
I (0.0000, 0.0000, 0.5000)
I (0.3337, 0.3337, 0.6455)
I (0.6663, 0.6663, 0.3545)
Br (0.3368, 0.3368, 0.1788)
Br (0.6632, 0.6632, 0.8212)

[7]
Below is a relaxed Nd2Dy2CI3Br2 crystal, with properties calculated at the PBE level.

**Spin magnetization**: 0.024 μB per atom
**ΔE to the lowest computed polymorph**: 3.6 meV per atom
**Crystal system**: monoclinic
**Total energy**: -4.8320 eV per atom
**SG**: C2/m

a = 9.5846 Å, b = 9.5846 Å, c = 8.5636 Å
α = 102.71°, β = 102.71°, γ = 23.82°
Fractional coordinates of all 10 atoms:
Nd (0.1380, 0.1380, 0.0741)
Nd (0.8620, 0.8620, 0.9259)
Dy (0.4995, 0.4995, 0.1906)
Dy (0.5005, 0.5005, 0.8094)
C (0.0000, 0.0000, 0.0000)
I (0.0000, 0.0000, 0.5000)
I (0.3315, 0.3315, 0.1945)
I (0.6685, 0.6685, 0.8055)
Br (0.3453, 0.3453, 0.6612)
Br (0.6547, 0.6547, 0.3388)

[8]
Below is a relaxed Nd2Dy2CI3Br2 crystal, with properties calculated at the PBE level.

**Spin magnetization**: 0.022 μB per atom
**ΔE to the lowest computed polymorph**: 0.0 meV per atom
**Crystal system**: monoclinic
**Total energy**: -4.8356 eV per atom
**SG**: C2/m

a = 9.6687 Å, b = 9.6687 Å, c = 8.8010 Å
α = 102.07°, β = 102.07°, γ = 23.86°
Fractional coordinates of all 10 atoms:
Nd (0.0006, 0.0006, 0.3042)
Nd (0.9994, 0.9994, 0.6958)
Dy (0.3695, 0.3695, 0.4337)
Dy (0.6305, 0.6305, 0.5663)
C (0.5000, 0.5000, 0.5000)
I (0.1729, 0.1729, 0.3324)
I (0.5000, 0.5000, 0.0000)
I (0.8271, 0.8271, 0.6676)
Br (0.1609, 0.1609, 0.8076)
Br (0.8391, 0.8391, 0.1924)